First-principles (PBE-GGA) data for a relaxed Sr2LaCl crystal, as listed in the Alexandria database.

```
data_Sr2LaCl
_space_group_name_H-M_alt 'F m -3 m'
_space_group_IT_number 225
_space_group_name_Hall '-F 4 2 3'
_cell_length_a 8.857
_cell_length_b 8.857
_cell_length_c 8.857
_cell_angle_alpha 90.00
_cell_angle_beta 90.00
_cell_angle_gamma 90.00
loop_
_atom_site_label
_atom_site_type_symbol
_atom_site_fract_x
_atom_site_fract_y
_atom_site_fract_z
_atom_site_occupancy
Sr1 Sr 0.250 0.250 0.250 1
La1 La 0.000 0.000 0.000 1
Cl1 Cl 0.000 0.000 0.500 1
```

Properties
Formation energy from raw total energies (eV per atom): -0.01
Energy above the lowest structure with this stoichiometry (eV/atom): 0.793
DFT total energy (eV for the cell shown): -40.64
Total magnetization (μB per atom): 0.639
Density of states at the Fermi level (states/eV/cell): 23.6